No. 1
# KBa5

KBa5 at its PBEsol-relaxed geometry (SCAN, Alexandria via LeMat-Bulk).

Values from the calculation:
E_form: 0.07 eV per atom
M_tot: 0.56 μB per formula unit

Unit cell a=4.3694 b=7.2273 c=11.6646 alpha=90.00 beta=100.79 gamma=90.00
Sites, in units of the cell vectors:
1 Ba 0.3348 0.0000 0.6697
2 Ba 0.4436 0.5000 0.8871
3 Ba 0.9972 0.0000 0.9944
4 Ba 0.7791 0.5000 0.5581
5 Ba 0.6679 0.0000 0.3357
6 K 0.1108 0.5000 0.2216

No. 2
# K2Ba

K2Ba at its PBEsol-relaxed geometry (SCAN, Alexandria via LeMat-Bulk).

Values from the calculation:
E_form: 0.09 eV per atom
M_tot: 0.09 μB per formula unit

Unit cell a=4.4309 b=8.7432 c=11.0232 alpha=105.64 beta=90.00 gamma=104.68
Sites, in units of the cell vectors:
1 K 0.3301 0.6602 0.6646
2 K 0.7263 0.4525 0.9491
3 K 0.0536 0.1072 0.6123
4 K 0.3905 0.7810 0.2785
5 Ba 0.6626 0.3252 0.3244
6 Ba 0.0036 0.0072 0.0043

No. 3
# K2BaLa

K2BaLa at its PBEsol-relaxed geometry (SCAN, Alexandria via LeMat-Bulk).

Values from the calculation:
E_form: 0.33 eV per atom
M_tot: 0.36 μB per formula unit

Unit cell a=4.0729 b=6.7876 c=7.3806 alpha=90.00 beta=90.00 gamma=90.00
Each line ends with the local moment (μB).
Sites, in units of the cell vectors:
1 K 0.5000 0.5000 0.0000  0.00
2 K 0.0000 0.0000 0.0000  0.00
3 La 0.5000 0.0000 0.5000  -0.06
4 Ba 0.0000 0.5000 0.5000  -0.01